Here is a relaxed structure of MgP5 from the Alexandria database. Energies are from GGA-PBEsol.

abc: 4.719 4.719 4.899
angles: 90.00 90.00 120.00
Sites, in units of the cell vectors:
Mg 0.000 0.000 0.500
P 0.277 0.277 0.000
P 0.723 0.000 0.000
P 0.000 0.723 0.000
P 0.333 0.667 0.500
P 0.667 0.333 0.500

Properties
total magnetic moment	0.000	μB/atom
density	3149	kg/m³
ΔE_f	0.356	eV per atom
space-group type	No. 189
total energy	-28.5	eV/cell